The following is a DFT calculation (GGA-PBEsol) of an optimized crystal structure of CrIn2Pb.

a b c (Å): 4.309 4.384 4.810
angles (deg): 90.00 90.00 90.00
Element x y z (fractional)
In: 0.500 0.500 0.000
Pb: 0.500 0.000 0.500
Cr: 0.000 0.500 0.500
In: 0.000 0.000 0.000

Computed properties:
D(E_F) ... 0.491 states/eV per atom
Symmetry ... Pmmm, No. 47
Formation enthalpy at 0 K ... 36.7 kJ/mol of atoms
Mass density ... 8.9 g/cm3

The following is a DFT calculation (GGA-PBEsol) of an optimized crystal structure of SrBiSeN2.

a b c (Å): 4.393 4.393 5.620
angles (deg): 90.00 90.00 90.00
Element x y z (fractional)
Sr: 0.500 0.500 0.500
N: 0.500 0.000 0.000
N: 0.000 0.500 0.000
Se: 0.000 0.000 0.500
Bi: 0.000 0.000 0.000

Computed properties:
D(E_F) ... 0.694 states/eV per atom
Symmetry ... P4/mmm, No. 123
Mass density ... 6.2 g/cm3
ΔE_f (raw) ... 449 meV/atom

The following is a DFT calculation (GGA-PBEsol) of an optimized crystal structure of PrCu4Pd.

a b c (Å): 4.156 5.079 5.079
angles (deg): 120.00 90.00 90.00
Element x y z (fractional)
Pr: 0.000 0.333 0.667
Pd: 0.000 0.000 0.000
Cu: 0.500 0.830 0.170
Cu: 0.500 0.340 0.170
Cu: 0.500 0.830 0.660
Cu: 0.000 0.667 0.333

Computed properties:
D(E_F) ... 0.525 states/eV per atom
Symmetry ... P-6m2, No. 187
Formation enthalpy at 0 K ... -26.0 kJ/mol of atoms
Mass density ... 9.0 g/cm3

The following is a DFT calculation (GGA-PBEsol) of an optimized crystal structure of Mo2AsRh.

a b c (Å): 2.973 4.363 4.853
angles (deg): 99.50 107.83 90.00
Element x y z (fractional)
Mo: 0.754 0.758 0.509
Rh: 0.500 0.000 0.000
As: 0.000 0.500 0.000
Mo: 0.246 0.242 0.491

Computed properties:
D(E_F) ... 0.751 states/eV per atom
Symmetry ... C2/m, No. 12
Formation enthalpy at 0 K ... 0.0 kJ/mol of atoms
Mass density ... 10.4 g/cm3

The following is a DFT calculation (GGA-PBEsol) of an optimized crystal structure of VCu3Te2Se2.

a b c (Å): 5.634 5.659 5.659
angles (deg): 91.81 90.00 90.00
Element x y z (fractional)
Cu: 0.504 0.000 0.000
V: 0.995 0.000 0.000
Cu: 0.989 0.500 0.000
Te: 0.257 0.734 0.734
Se: 0.754 0.236 0.764
Te: 0.257 0.266 0.266
Cu: 0.989 0.000 0.500
Se: 0.754 0.764 0.236

Computed properties:
Symmetry ... Cmm2, No. 35
Mass density ... 6.0 g/cm3
ΔE_f (raw) ... -328 meV/atom

The following is a DFT calculation (GGA-PBEsol) of an optimized crystal structure of SrCoBi3.

a b c (Å): 5.213 5.213 5.213
angles (deg): 90.00 90.00 90.00
Element x y z (fractional)
Sr: 0.500 0.500 0.500
Co: 0.000 0.000 0.000
Bi: 0.000 0.500 0.000
Bi: 0.500 0.000 0.000
Bi: 0.000 0.000 0.500

Computed properties:
D(E_F) ... 0.894 states/eV per atom
Symmetry ... Pm-3m, No. 221
Formation enthalpy at 0 K ... -5.8 kJ/mol of atoms
Mass density ... 9.1 g/cm3

The following is a DFT calculation (GGA-PBEsol) of an optimized crystal structure of BP2Pd.

a b c (Å): 5.152 5.677 5.152
angles (deg): 116.98 90.00 116.98
Element x y z (fractional)
B: 0.750 0.500 0.250
P: 0.817 0.250 0.875
Pd: 0.000 0.000 0.000
P: 0.433 0.250 0.375
P: 0.125 0.750 0.567
P: 0.625 0.750 0.183
B: 0.500 0.000 0.500
Pd: 0.250 0.500 0.750

Computed properties:
D(E_F) ... 0.470 states/eV per atom
Symmetry ... I-42d, No. 122
Formation enthalpy at 0 K ... -15.2 kJ/mol of atoms
Mass density ... 5.1 g/cm3

The following is a DFT calculation (GGA-PBEsol) of an optimized crystal structure of TcMo2Ru.

a b c (Å): 3.064 4.317 4.399
angles (deg): 90.00 90.00 90.00
Element x y z (fractional)
Mo: 0.000 0.000 0.000
Mo: 0.500 0.000 0.500
Ru: 0.500 0.500 0.000
Tc: 0.000 0.500 0.500

Computed properties:
Relative energy among the computed polymorphs ... 0 meV/atom
D(E_F) ... 1.341 states/eV per atom
Symmetry ... Pmmm, No. 47
Formation enthalpy at 0 K ... 20.1 kJ/mol of atoms
Mass density ... 11.2 g/cm3

The following is a DFT calculation (GGA-PBEsol) of an optimized crystal structure of In3RePt.

a b c (Å): 5.035 5.035 5.035
angles (deg): 90.00 90.00 90.00
Element x y z (fractional)
Re: 0.500 0.500 0.500
Pt: 0.000 0.000 0.000
In: 0.000 0.000 0.500
In: 0.000 0.500 0.000
In: 0.500 0.000 0.000

Computed properties:
Relative energy among the computed polymorphs ... 0 meV/atom
D(E_F) ... 0.630 states/eV per atom
Symmetry ... Pm-3m, No. 221
Formation enthalpy at 0 K ... 102.7 kJ/mol of atoms
Mass density ... 9.4 g/cm3

The following is a DFT calculation (GGA-PBEsol) of an optimized crystal structure of ZrSc2FeCu.

a b c (Å): 4.741 4.741 4.912
angles (deg): 90.00 90.00 90.00
Element x y z (fractional)
Sc: 0.000 0.500 0.000
Cu: 0.000 0.000 0.000
Zr: 0.000 0.000 0.500
Sc: 0.500 0.000 0.000
Fe: 0.500 0.500 0.500

Computed properties:
D(E_F) ... 1.829 states/eV per atom
Symmetry ... P4/mmm, No. 123
Formation enthalpy at 0 K ... 71.0 kJ/mol of atoms
Mass density ... 4.5 g/cm3

The following is a DFT calculation (GGA-PBEsol) of an optimized crystal structure of Sc2As.

a b c (Å): 3.664 5.514 6.820
angles (deg): 113.85 105.58 90.00
Element x y z (fractional)
As: 0.358 0.858 0.715
As: 0.642 0.142 0.285
Sc: 0.305 0.305 0.609
Sc: 0.000 0.757 0.000
Sc: 0.000 0.243 0.000
Sc: 0.695 0.695 0.391

Computed properties:
D(E_F) ... 0.831 states/eV per atom
Symmetry ... Immm, No. 71
Formation enthalpy at 0 K ... -90.8 kJ/mol of atoms
Mass density ... 4.5 g/cm3

The following is a DFT calculation (GGA-PBEsol) of an optimized crystal structure of Te4OsRu.

a b c (Å): 5.907 5.907 5.907
angles (deg): 60.00 60.00 60.00
Element x y z (fractional)
Te: 0.874 0.375 0.375
Ru: 0.000 0.000 0.000
Te: 0.375 0.375 0.874
Te: 0.375 0.375 0.375
Os: 0.750 0.750 0.750
Te: 0.375 0.874 0.375

Computed properties:
D(E_F) ... 1.472 states/eV per atom
Symmetry ... F-43m, No. 216
Mass density ... 9.1 g/cm3
ΔE_f (raw) ... 1937 meV/atom